Compound: RbCrPb2F8
Source: Alexandria via LeMat-Bulk
Functional: GGA+U
Structure: optimized geometry

```
RbCrPb2F8
1.0
-0.9603 0.1452 4.8374
5.5191 -1.0447 0.3069
1.6970 7.6090 1.0276
Rb Cr Pb F
1 1 2 8
Direct
0.0000 0.0000 0.5000
0.0000 0.0000 0.0000
0.4394 0.5045 0.7590
0.5606 0.4955 0.2410
0.0230 0.7511 0.1829
0.6482 0.8043 0.9769
0.8557 0.1911 0.1826
0.9770 0.2489 0.8171
0.3518 0.1957 0.0231
0.1443 0.8089 0.8174
0.4585 0.7276 0.4893
0.5415 0.2724 0.5107
```

Calculated values
energy	-61.5	eV/cell
magnetization	3.0	μB/f.u.